## TlCuPt2 (PBE)

Data for a geometry-optimized TlCuPt2 structure.

Properties
E   -35.67 eV per cell
Size of the total moment   0.0 μB/cell

Lattice parameters (Å, degrees): 3.9469 3.9469 9.7682 78.34 78.34 90.00
Closest atoms and distances in Å follow each position.
Sites, in units of the cell vectors:
Pt 0.3750 0.3968 0.7500  4 Pt 2.67-2.92, 2 Cu 2.69, 2 Tl 2.76
Pt 0.6032 0.1250 0.2500  4 Pt 2.67-2.92, 2 Cu 2.69, 2 Tl 2.76
Pt 0.8750 0.8532 0.7500  4 Pt 2.67-2.92, 2 Cu 2.69, 2 Tl 2.76
Pt 0.1468 0.6250 0.2500  4 Pt 2.67-2.92, 2 Cu 2.69, 2 Tl 2.76
Tl 0.7500 0.2500 0.5000  4 Pt 2.76, 4 Cu 2.79
Tl 0.0000 0.0000 0.0000  4 Pt 2.76, 4 Cu 2.79
Cu 0.2500 0.7500 0.5000  4 Pt 2.69, 4 Tl 2.79
Cu 0.5000 0.5000 0.0000  4 Pt 2.69, 4 Tl 2.79

***

## TlZnIr2Pt (PBE)

Data for a geometry-optimized TlZnIr2Pt structure.

Properties
E   -17.46 eV per cell
Size of the total moment   0.9 μB/cell

Lattice parameters (Å, degrees): 4.9917 4.9865 4.9917 90.00 90.00 90.00
Closest atoms and distances in Å follow each position.
Sites, in units of the cell vectors:
Zn 0.5000 0.5000 0.5000  8 Ir 3.53, 4 Pt 3.53
Ir 0.5000 0.0000 0.0000  2 Tl 2.50
Ir 0.0000 0.0000 0.5000  2 Tl 2.50
Tl 0.0000 0.0000 0.0000  2 Pt 2.49, 4 Ir 2.50
Pt 0.0000 0.5000 0.0000  2 Tl 2.49

***

## ScNiPdAu (PBE)

Data for a geometry-optimized ScNiPdAu structure.

Properties
Energy above the lowest structure with this stoichiometry   0.070 eV/atom
Size of the total moment   0.0 μB/cell

Lattice parameters (Å, degrees): 4.4957 4.4957 4.4957 60.00 60.00 60.00
Closest atoms and distances in Å follow each position.
Sites, in units of the cell vectors:
Sc 0.7500 0.7500 0.7500  4 Ni 2.75, 4 Pd 2.75
Ni 0.5000 0.5000 0.5000  4 Sc 2.75, 4 Au 2.75
Au 0.2500 0.2500 0.2500  4 Ni 2.75, 4 Pd 2.75
Pd 0.0000 0.0000 0.0000  4 Au 2.75, 4 Sc 2.75

***

## Sm2DyY3Tm6 (PBE)

Data for a geometry-optimized Sm2DyY3Tm6 structure.

Properties
E   -59.96 eV per cell
Size of the total moment   0.0 μB/cell

Lattice parameters (Å, degrees): 6.1278 6.1278 11.7011 95.01 95.01 119.95
Closest atoms and distances in Å follow each position.
Sites, in units of the cell vectors:
Y 0.5000 0.5000 0.5000  6 Tm 3.53, 6 Y 3.54
Y 0.1666 0.8334 0.5000  6 Tm 3.52-3.53, 6 Y 3.54
Y 0.8334 0.1666 0.5000  6 Tm 3.52-3.53, 6 Y 3.54
Tm 0.5826 0.9157 0.7497  3 Y 3.53, 2 Sm 3.53-3.54, 6 Tm 3.53-3.54, 1 Dy 3.53
Tm 0.4174 0.0843 0.2503  3 Y 3.53, 2 Sm 3.53-3.54, 6 Tm 3.53-3.54, 1 Dy 3.53
Tm 0.2485 0.2485 0.7495  3 Y 3.52-3.53, 1 Dy 3.53, 6 Tm 3.54, 2 Sm 3.54
Tm 0.0843 0.4174 0.2503  3 Y 3.53, 2 Sm 3.53-3.54, 6 Tm 3.53-3.54, 1 Dy 3.53
Tm 0.9157 0.5826 0.7497  3 Y 3.53, 2 Sm 3.53-3.54, 6 Tm 3.53-3.54, 1 Dy 3.53
Tm 0.7515 0.7515 0.2505  3 Y 3.52-3.53, 1 Dy 3.53, 6 Tm 3.54, 2 Sm 3.54
Sm 0.3334 0.6666 0.0000  6 Tm 3.53-3.54, 3 Sm 3.54, 3 Dy 3.54
Sm 0.6666 0.3334 0.0000  6 Tm 3.53-3.54, 3 Sm 3.54, 3 Dy 3.54
Dy 0.0000 0.0000 0.0000  6 Tm 3.53, 6 Sm 3.54

***

Please write out number 3 again, unchanged.
## ScNiPdAu (PBE)

Data for a geometry-optimized ScNiPdAu structure.

Properties
Energy above the lowest structure with this stoichiometry   0.070 eV/atom
Size of the total moment   0.0 μB/cell

Lattice parameters (Å, degrees): 4.4957 4.4957 4.4957 60.00 60.00 60.00
Closest atoms and distances in Å follow each position.
Sites, in units of the cell vectors:
Sc 0.7500 0.7500 0.7500  4 Ni 2.75, 4 Pd 2.75
Ni 0.5000 0.5000 0.5000  4 Sc 2.75, 4 Au 2.75
Au 0.2500 0.2500 0.2500  4 Ni 2.75, 4 Pd 2.75
Pd 0.0000 0.0000 0.0000  4 Au 2.75, 4 Sc 2.75

***

What did the first record say?
## TlCuPt2 (PBE)

Data for a geometry-optimized TlCuPt2 structure.

Properties
E   -35.67 eV per cell
Size of the total moment   0.0 μB/cell

Lattice parameters (Å, degrees): 3.9469 3.9469 9.7682 78.34 78.34 90.00
Closest atoms and distances in Å follow each position.
Sites, in units of the cell vectors:
Pt 0.3750 0.3968 0.7500  4 Pt 2.67-2.92, 2 Cu 2.69, 2 Tl 2.76
Pt 0.6032 0.1250 0.2500  4 Pt 2.67-2.92, 2 Cu 2.69, 2 Tl 2.76
Pt 0.8750 0.8532 0.7500  4 Pt 2.67-2.92, 2 Cu 2.69, 2 Tl 2.76
Pt 0.1468 0.6250 0.2500  4 Pt 2.67-2.92, 2 Cu 2.69, 2 Tl 2.76
Tl 0.7500 0.2500 0.5000  4 Pt 2.76, 4 Cu 2.79
Tl 0.0000 0.0000 0.0000  4 Pt 2.76, 4 Cu 2.79
Cu 0.2500 0.7500 0.5000  4 Pt 2.69, 4 Tl 2.79
Cu 0.5000 0.5000 0.0000  4 Pt 2.69, 4 Tl 2.79